# Hf2CrNi (PBE, optimized geometry)
data_Hf2CrNi
_chemical_formula_sum 'Hf2 Cr1 Ni1'
_cell_length_a 3.195
_cell_length_b 3.195
_cell_length_c 6.379
_cell_angle_alpha 90.00
_cell_angle_beta 90.00
_cell_angle_gamma 90.00
_symmetry_space_group_name_H-M 'P 1'
_symmetry_Int_Tables_number 1
_symmetry_space_group_name_Hall 'P 1'
loop_
_atom_site_label
_atom_site_type_symbol
_atom_site_fract_x
_atom_site_fract_y
_atom_site_fract_z
Hf1 Hf 0.000 0.000 0.753
Ni1 Ni 0.500 0.500 0.500
Hf2 Hf 0.000 0.000 0.247
Cr1 Cr 0.500 0.500 0.000
# E_form in eV/atom: -0.19
# Space group: P4/mmm
# Crystal system: tetragonal